Pm3NiO6 | PBE with a Hubbard U | optimized geometry

Cell: 5.581 5.712 8.836 Å, 90.00 95.33 90.00°
Atoms (fractional coordinates):
1 Pm 0.532 0.946 0.741
2 Pm 0.500 0.500 0.000
3 Pm 0.468 0.054 0.259
4 Pm 0.032 0.554 0.241
5 Pm 0.000 0.000 0.500
6 Pm 0.968 0.446 0.759
7 Ni 0.500 0.500 0.500
8 Ni 0.000 0.000 0.000
9 O 0.738 0.195 0.922
10 O 0.684 0.230 0.570
11 O 0.640 0.435 0.253
12 O 0.360 0.565 0.747
13 O 0.316 0.770 0.430
14 O 0.262 0.805 0.078
15 O 0.238 0.305 0.422
16 O 0.184 0.270 0.070
17 O 0.140 0.065 0.753
18 O 0.860 0.935 0.247
19 O 0.816 0.730 0.930
20 O 0.762 0.695 0.578

Calculated values
space group = No. 14
E_tot = -7.30 eV per atom